(1)
Computed, not measured: a relaxed CdSiAg2Ru crystal at the PBE-GGA level of DFT.

a b c (Å): 5.0398 5.0398 5.0909
angles (deg): 90.00 90.00 90.00
Space group P4/mmm (No. 123)
Inequivalent atoms, fractional coordinates:
Cd: 0.0000 0.0000 0.0000 [1 per cell]
Si: 0.5000 0.5000 0.0000 [1 per cell]
Ag: 0.0000 0.5000 0.5000 [2 per cell]
Ru: 0.0000 0.0000 0.5000 [1 per cell]

Calculated values
The energy relative to the elements, uncorrected comes out at 1.389 eV per atom.


(2)
Computed, not measured: a relaxed Sm4CdAg2Ru crystal at the PBE-GGA level of DFT.

a b c (Å): 5.2255 5.2255 25.2040
angles (deg): 90.00 90.00 120.00
Space group R-3m (No. 166, hexagonal axes)
Inequivalent atoms, fractional coordinates:
Sm: 0.0000 0.0000 0.1141 [6 per cell]
Sm: 0.0000 0.0000 0.3667 [6 per cell]
Cd: 0.0000 0.0000 0.5000 [3 per cell]
Ag: 0.0000 0.0000 0.2408 [6 per cell]
Ru: 0.0000 0.0000 0.0000 [3 per cell]

Calculated values
The formation energy from the elements comes out at -0.30 eV per atom.


(3)
Computed, not measured: a relaxed TbCdAgRu crystal at the PBE-GGA level of DFT.

a b c (Å): 6.8162 6.8162 6.8162
angles (deg): 90.00 90.00 90.00
Space group F-43m (No. 216)
Inequivalent atoms, fractional coordinates:
Tb: 0.0000 0.0000 0.0000 [4 per cell]
Cd: 0.0000 0.0000 0.5000 [4 per cell]
Ag: 0.2500 0.2500 0.2500 [4 per cell]
Ru: 0.2500 0.2500 0.7500 [4 per cell]

Calculated values
The formation energy from the elements comes out at -0.07 eV per atom.


(4)
Computed, not measured: a relaxed Tb4CdAgRu2 crystal at the PBE-GGA level of DFT.

a b c (Å): 5.0110 5.0110 24.6256
angles (deg): 90.00 90.00 120.00
Space group R-3m (No. 166, hexagonal axes)
Inequivalent atoms, fractional coordinates:
Tb: 0.0000 0.0000 0.1229 [6 per cell]
Tb: 0.0000 0.0000 0.3735 [6 per cell]
Cd: 0.0000 0.0000 0.5000 [3 per cell]
Ag: 0.0000 0.0000 0.0000 [3 per cell]
Ru: 0.0000 0.0000 0.2490 [6 per cell]

Calculated values
The formation energy from the elements comes out at -0.30 eV per atom.


(5)
Computed, not measured: a relaxed Th2CdAgRu crystal at the PBE-GGA level of DFT.

a b c (Å): 8.1554 4.0088 8.1664
angles (deg): 90.00 109.35 90.00
Space group P2_1/m (No. 11)
Inequivalent atoms, fractional coordinates:
Th: 0.1074 0.2500 0.3540 [2 per cell]
Th: 0.2784 0.2500 0.9957 [2 per cell]
Cd: 0.3191 0.7500 0.6851 [2 per cell]
Ag: 0.4475 0.7500 0.3607 [2 per cell]
Ru: 0.1113 0.7500 0.1187 [2 per cell]

Calculated values
The formation energy from the elements comes out at -0.25 eV per atom.


(6)
Computed, not measured: a relaxed Tm4CdAgRu2 crystal at the PBE-GGA level of DFT.

a b c (Å): 4.9356 4.9356 24.0885
angles (deg): 90.00 90.00 120.00
Space group R-3m (No. 166, hexagonal axes)
Inequivalent atoms, fractional coordinates:
Tm: 0.0000 0.0000 0.1232 [6 per cell]
Tm: 0.0000 0.0000 0.3731 [6 per cell]
Cd: 0.0000 0.0000 0.5000 [3 per cell]
Ag: 0.0000 0.0000 0.0000 [3 per cell]
Ru: 0.0000 0.0000 0.2491 [6 per cell]

Calculated values
The formation energy from the elements comes out at -0.37 eV per atom.


(7)
Computed, not measured: a relaxed V2CdAgRu crystal at the PBE-GGA level of DFT.

a b c (Å): 4.6426 4.6426 4.8815
angles (deg): 90.00 90.00 90.00
Space group P4/mmm (No. 123)
Inequivalent atoms, fractional coordinates:
V: 0.0000 0.5000 0.0000 [2 per cell]
Cd: 0.0000 0.0000 0.5000 [1 per cell]
Ag: 0.5000 0.5000 0.0000 [1 per cell]
Ru: 0.5000 0.5000 0.5000 [1 per cell]

Calculated values
The formation energy from the elements comes out at 1.80 eV per atom.


(8)
Computed, not measured: a relaxed VCdAgRu2 crystal at the PBE-GGA level of DFT.

a b c (Å): 4.8496 4.8496 4.7649
angles (deg): 90.00 90.00 90.00
Space group P4/mmm (No. 123)
Inequivalent atoms, fractional coordinates:
V: 0.0000 0.0000 0.0000 [1 per cell]
Cd: 0.5000 0.5000 0.5000 [1 per cell]
Ag: 0.5000 0.5000 0.0000 [1 per cell]
Ru: 0.0000 0.5000 0.5000 [2 per cell]

Calculated values
The formation energy from the elements comes out at 2.20 eV per atom.


(9)
Computed, not measured: a relaxed VCdAg2Ru crystal at the PBE-GGA level of DFT.

a b c (Å): 5.0039 5.0039 4.3213
angles (deg): 90.00 90.00 90.00
Space group P4/mmm (No. 123)
Inequivalent atoms, fractional coordinates:
V: 0.0000 0.0000 0.0000 [1 per cell]
Cd: 0.5000 0.5000 0.5000 [1 per cell]
Ag: 0.0000 0.5000 0.0000 [2 per cell]
Ru: 0.0000 0.0000 0.5000 [1 per cell]

Calculated values
The formation energy from the elements comes out at 0.99 eV per atom.


(10)
Computed, not measured: a relaxed YCdAgRu crystal at the PBE-GGA level of DFT.

a b c (Å): 6.8116 6.8116 6.8116
angles (deg): 90.00 90.00 90.00
Space group F-43m (No. 216)
Inequivalent atoms, fractional coordinates:
Y: 0.0000 0.0000 0.0000 [4 per cell]
Cd: 0.0000 0.0000 0.5000 [4 per cell]
Ag: 0.2500 0.2500 0.2500 [4 per cell]
Ru: 0.2500 0.2500 0.7500 [4 per cell]

Calculated values
The formation energy from the elements comes out at -0.07 eV per atom.


(11)
Computed, not measured: a relaxed Cd3AgS crystal at the PBE-GGA level of DFT.

a b c (Å): 5.1709 5.1709 5.1709
angles (deg): 90.00 90.00 90.00
Space group Pm-3m (No. 221)
Inequivalent atoms, fractional coordinates:
Cd: 0.0000 0.0000 0.5000 [3 per cell]
Ag: 0.5000 0.5000 0.5000 [1 per cell]
S: 0.0000 0.0000 0.0000 [1 per cell]

Calculated values
The energy relative to the elements, uncorrected comes out at 0.394 eV per atom. The value obtained for the energy above the lowest structure with this stoichiometry is 0.000 eV per atom.


(12)
Computed, not measured: a relaxed CdAg3S crystal at the PBE-GGA level of DFT.

a b c (Å): 4.9273 4.9273 4.9273
angles (deg): 90.00 90.00 90.00
Space group Pm-3m (No. 221)
Inequivalent atoms, fractional coordinates:
Cd: 0.0000 0.0000 0.0000 [1 per cell]
Ag: 0.0000 0.5000 0.5000 [3 per cell]
S: 0.5000 0.5000 0.5000 [1 per cell]

Calculated values
The energy relative to the elements, uncorrected comes out at 0.257 eV per atom. The value obtained for the energy above the lowest structure with this stoichiometry is 0.000 eV per atom.


Copy entry 7 word for word.
Computed, not measured: a relaxed V2CdAgRu crystal at the PBE-GGA level of DFT.

a b c (Å): 4.6426 4.6426 4.8815
angles (deg): 90.00 90.00 90.00
Space group P4/mmm (No. 123)
Inequivalent atoms, fractional coordinates:
V: 0.0000 0.5000 0.0000 [2 per cell]
Cd: 0.0000 0.0000 0.5000 [1 per cell]
Ag: 0.5000 0.5000 0.0000 [1 per cell]
Ru: 0.5000 0.5000 0.5000 [1 per cell]

Calculated values
The formation energy from the elements comes out at 1.80 eV per atom.